(1)
Density functional theory data (PBE-GGA) for a relaxed KZn2Se crystal.

Geometry as CIF:
```
data_KZn2Se
_chemical_formula_sum 'K3 Zn6 Se3'
_cell_length_a 4.1194
_cell_length_b 4.1194
_cell_length_c 21.3120
_cell_angle_alpha 90.00
_cell_angle_beta 90.00
_cell_angle_gamma 120.00
_symmetry_space_group_name_H-M 'R 3 m'
_symmetry_Int_Tables_number 160
_symmetry_space_group_name_Hall 'R 3 -2"'
loop_
_atom_site_label
_atom_site_type_symbol
_atom_site_fract_x
_atom_site_fract_y
_atom_site_fract_z
K1 K 0.0000 0.0000 0.0000
Zn1 Zn 0.0000 0.0000 0.2190
Zn2 Zn 0.0000 0.0000 0.4939
Se1 Se 0.0000 0.0000 0.7720
```


(2)
Density functional theory data (PBE-GGA) for a relaxed KZn2Se crystal.

Geometry as CIF:
```
data_KZn2Se
_chemical_formula_sum 'K2 Zn4 Se2'
_cell_length_a 6.0877
_cell_length_b 11.8827
_cell_length_c 3.0054
_cell_angle_alpha 90.00
_cell_angle_beta 118.98
_cell_angle_gamma 90.00
_symmetry_space_group_name_H-M 'C 1 2/m 1'
_symmetry_Int_Tables_number 12
loop_
_symmetry_equiv_pos_as_xyz
'x,y,z'
'-x,-y,-z'
'-x,y,-z'
'x,-y,z'
'x+1/2,y+1/2,z'
'-x+1/2,-y+1/2,-z'
'-x+1/2,y+1/2,-z'
'x+1/2,-y+1/2,z'
loop_
_atom_site_label
_atom_site_type_symbol
_atom_site_fract_x
_atom_site_fract_y
_atom_site_fract_z
K1 K 0.0000 0.0000 0.0000
Zn1 Zn 0.2500 0.2500 0.5000
Se1 Se 0.0000 0.5000 0.0000
```


(3)
Density functional theory data (PBE-GGA) for a relaxed KZr2Se crystal.

Geometry as CIF:
```
data_KZr2Se
_chemical_formula_sum 'K1 Zr2 Se1'
_cell_length_a 3.2980
_cell_length_b 4.3328
_cell_length_c 9.1738
_cell_angle_alpha 90.00
_cell_angle_beta 99.58
_cell_angle_gamma 90.00
_symmetry_space_group_name_H-M 'P 1 2/m 1'
_symmetry_Int_Tables_number 10
loop_
_symmetry_equiv_pos_as_xyz
'x,y,z'
'-x,-y,-z'
'-x,y,-z'
'x,-y,z'
loop_
_atom_site_label
_atom_site_type_symbol
_atom_site_fract_x
_atom_site_fract_y
_atom_site_fract_z
K1 K 0.0000 0.0000 0.0000
Zr1 Zr 0.3260 0.5000 0.6384
Se1 Se 0.0000 0.0000 0.5000
```


(4)
Density functional theory data (PBE-GGA) for a relaxed K16Zr12Se61 crystal.

Geometry as CIF:
```
data_K16Zr12Se61
_chemical_formula_sum 'K16 Zr12 Se61'
_cell_length_a 12.6067
_cell_length_b 15.2106
_cell_length_c 15.8066
_cell_angle_alpha 73.26
_cell_angle_beta 75.29
_cell_angle_gamma 71.44
_symmetry_space_group_name_H-M 'P 1'
_symmetry_Int_Tables_number 1
loop_
_symmetry_equiv_pos_as_xyz
'x,y,z'
loop_
_atom_site_label
_atom_site_type_symbol
_atom_site_fract_x
_atom_site_fract_y
_atom_site_fract_z
K1 K 0.0000 0.0000 0.0000
K2 K 0.0176 0.5698 0.1808
K3 K 0.1671 0.6532 0.4804
K4 K 0.1861 0.2264 0.6693
K5 K 0.2067 0.2866 0.0160
K6 K 0.3140 0.8059 0.2018
K7 K 0.3732 0.8623 0.5074
K8 K 0.4614 0.4785 0.6819
K9 K 0.4950 0.4938 0.9939
K10 K 0.5849 0.0782 0.1624
K11 K 0.5945 0.1438 0.5100
K12 K 0.7004 0.7349 0.6796
K13 K 0.7316 0.7627 0.9640
K14 K 0.8104 0.3587 0.1694
K15 K 0.8735 0.4134 0.4669
K16 K 0.9680 0.9374 0.6556
Zr1 Zr 0.1720 0.6887 0.8505
Zr2 Zr 0.2082 0.1794 0.3308
Zr3 Zr 0.3307 0.8637 0.8342
Zr4 Zr 0.3475 0.3660 0.3291
Zr5 Zr 0.4718 0.0478 0.8305
Zr6 Zr 0.5102 0.5289 0.3332
Zr7 Zr 0.6683 0.6926 0.3429
Zr8 Zr 0.7046 0.1800 0.8380
Zr9 Zr 0.8331 0.8555 0.3429
Zr10 Zr 0.8434 0.3618 0.8391
Zr11 Zr 0.9739 0.0404 0.3426
Zr12 Zr 0.9909 0.5401 0.8285
Se1 Se 0.0025 0.9155 0.2200
Se2 Se 0.0308 0.1213 0.4573
Se3 Se 0.0403 0.7418 0.2848
Se4 Se 0.0426 0.3337 0.2647
Se5 Se 0.0438 0.7690 0.9906
Se6 Se 0.0663 0.3343 0.8402
Se7 Se 0.1085 0.8933 0.8226
Se8 Se 0.1097 0.4852 0.6735
Se9 Se 0.1393 0.4782 0.3867
Se10 Se 0.1390 0.8861 0.4094
Se11 Se 0.1518 0.0975 0.2166
Se12 Se 0.1792 0.3045 0.4524
Se13 Se 0.2158 0.5014 0.8332
Se14 Se 0.2244 0.9794 0.6951
Se15 Se 0.2277 0.5233 0.9742
Se16 Se 0.2368 0.7235 0.6671
Se17 Se 0.2381 0.3383 0.2036
Se18 Se 0.2452 0.0486 0.8591
Se19 Se 0.2460 0.7376 0.9827
Se20 Se 0.2968 0.1021 0.4873
Se21 Se 0.3153 0.0527 0.9877
Se22 Se 0.3257 0.0160 0.2727
Se23 Se 0.3458 0.5562 0.2349
Se24 Se 0.3621 0.4391 0.4690
Se25 Se 0.3796 0.7089 0.7506
Se26 Se 0.3818 0.2402 0.7765
Se27 Se 0.4217 0.1692 0.3551
Se28 Se 0.4435 0.6886 0.3839
Se29 Se 0.4435 0.8692 0.9573
Se30 Se 0.4942 0.9532 0.7033
Se31 Se 0.5112 0.3020 0.9081
Se32 Se 0.5128 0.7258 0.8918
Se33 Se 0.5170 0.3075 0.1945
Se34 Se 0.5301 0.5754 0.1554
Se35 Se 0.5606 0.3928 0.4850
Se36 Se 0.5763 0.3330 0.3206
Se37 Se 0.5788 0.1847 0.7154
Se38 Se 0.5957 0.0441 0.9543
Se39 Se 0.6044 0.8897 0.3498
Se40 Se 0.6204 0.8263 0.1890
Se41 Se 0.6456 0.6536 0.5213
Se42 Se 0.6635 0.5027 0.7819
Se43 Se 0.6638 0.9178 0.4755
Se44 Se 0.6669 0.9272 0.7584
Se45 Se 0.6818 0.2724 0.9675
Se46 Se 0.7347 0.3593 0.7131
Se47 Se 0.7352 0.5324 0.2934
Se48 Se 0.7607 0.0522 0.3165
Se49 Se 0.7945 0.9897 0.8966
Se50 Se 0.7979 0.5053 0.9398
Se51 Se 0.8186 0.7788 0.2063
Se52 Se 0.8319 0.6668 0.4414
Se53 Se 0.8563 0.2028 0.4021
Se54 Se 0.8579 0.1784 0.6792
Se55 Se 0.8885 0.1192 0.1850
Se56 Se 0.9003 0.5131 0.7014
Se57 Se 0.9315 0.1792 0.8078
Se58 Se 0.9430 0.8809 0.4700
Se59 Se 0.9566 0.4916 0.0084
Se60 Se 0.9599 0.7205 0.8009
Se61 Se 0.9631 0.2409 0.9686
```


(5)
Density functional theory data (PBE-GGA) for a relaxed KZr2Se crystal.

Geometry as CIF:
```
data_KZr2Se
_chemical_formula_sum 'K4 Zr8 Se4'
_cell_length_a 5.2256
_cell_length_b 5.2256
_cell_length_c 19.7314
_cell_angle_alpha 90.00
_cell_angle_beta 90.00
_cell_angle_gamma 90.00
_symmetry_space_group_name_H-M 'I 41/a m d'
_symmetry_Int_Tables_number 141
loop_
_symmetry_equiv_pos_as_xyz
'x,y,z'
'-x,-y,-z'
'-y+1/4,x+3/4,z+1/4'
'y+1/4,-x+3/4,-z+1/4'
'-x+1/2,-y,z+1/2'
'x+1/2,y,-z+1/2'
'y+1/4,-x+1/4,z+3/4'
'-y+1/4,x+1/4,-z+3/4'
'x,-y,-z'
'-x,y,z'
'-y+1/4,-x+1/4,-z+3/4'
'y+1/4,x+1/4,z+3/4'
'-x+1/2,y,-z+1/2'
'x+1/2,-y,z+1/2'
'y+1/4,x+3/4,-z+1/4'
'-y+1/4,-x+3/4,z+1/4'
'x+1/2,y+1/2,z+1/2'
'-x+1/2,-y+1/2,-z+1/2'
'-y+3/4,x+1/4,z+3/4'
'y+3/4,-x+1/4,-z+3/4'
'-x,-y+1/2,z'
'x,y+1/2,-z'
'y+3/4,-x+3/4,z+1/4'
'-y+3/4,x+3/4,-z+1/4'
'x+1/2,-y+1/2,-z+1/2'
'-x+1/2,y+1/2,z+1/2'
'-y+3/4,-x+3/4,-z+1/4'
'y+3/4,x+3/4,z+1/4'
'-x,y+1/2,-z'
'x,-y+1/2,z'
'y+3/4,x+1/4,-z+3/4'
'-y+3/4,-x+1/4,z+3/4'
loop_
_atom_site_label
_atom_site_type_symbol
_atom_site_fract_x
_atom_site_fract_y
_atom_site_fract_z
K1 K 0.0000 0.2500 0.3750
Zr1 Zr 0.0000 0.0000 0.0000
Se1 Se 0.0000 0.2500 0.8750
```


(6)
Density functional theory data (PBE-GGA) for a relaxed KZr4Se8 crystal.

Geometry as CIF:
```
data_KZr4Se8
_chemical_formula_sum 'K4 Zr16 Se32'
_cell_length_a 11.5042
_cell_length_b 11.5042
_cell_length_c 11.5042
_cell_angle_alpha 90.00
_cell_angle_beta 90.00
_cell_angle_gamma 90.00
_symmetry_space_group_name_H-M 'F -4 3 m'
_symmetry_Int_Tables_number 216
_symmetry_space_group_name_Hall 'F -4 2 3'
loop_
_atom_site_label
_atom_site_type_symbol
_atom_site_fract_x
_atom_site_fract_y
_atom_site_fract_z
K1 K 0.0000 0.0000 0.0000
Zr1 Zr 0.1207 0.1207 0.6207
Se1 Se 0.1175 0.1175 0.3825
Se2 Se 0.1431 0.1431 0.8569
```

Computed properties:
Polymorph energy (0 for the lowest one)   203 kJ/mol of formula units


(7)
Density functional theory data (PBE-GGA) for a relaxed K3ZrSe crystal.

Geometry as CIF:
```
data_K3ZrSe
_chemical_formula_sum 'K3 Zr1 Se1'
_cell_length_a 6.3038
_cell_length_b 6.3038
_cell_length_c 6.3038
_cell_angle_alpha 90.00
_cell_angle_beta 90.00
_cell_angle_gamma 90.00
_symmetry_space_group_name_H-M 'P m -3 m'
_symmetry_Int_Tables_number 221
_symmetry_space_group_name_Hall '-P 4 2 3'
loop_
_atom_site_label
_atom_site_type_symbol
_atom_site_fract_x
_atom_site_fract_y
_atom_site_fract_z
K1 K 0.0000 0.0000 0.5000
Zr1 Zr 0.5000 0.5000 0.5000
Se1 Se 0.0000 0.0000 0.0000
```

Computed properties:
Polymorph energy (0 for the lowest one)   0 kJ/mol of formula units


(8)
Density functional theory data (PBE-GGA) for a relaxed KZr2Se crystal.

Geometry as CIF:
```
data_KZr2Se
_chemical_formula_sum 'K3 Zr6 Se3'
_cell_length_a 3.7864
_cell_length_b 3.7864
_cell_length_c 29.1661
_cell_angle_alpha 90.00
_cell_angle_beta 90.00
_cell_angle_gamma 120.00
_symmetry_space_group_name_H-M 'R -3 m'
_symmetry_Int_Tables_number 166
_symmetry_space_group_name_Hall '-R 3 2"'
loop_
_atom_site_label
_atom_site_type_symbol
_atom_site_fract_x
_atom_site_fract_y
_atom_site_fract_z
K1 K 0.0000 0.0000 0.0000
Zr1 Zr 0.0000 0.0000 0.2159
Se1 Se 0.0000 0.0000 0.5000
```


(9)
Density functional theory data (PBE-GGA) for a relaxed KZrSe2 crystal.

Geometry as CIF:
```
data_KZrSe2
_chemical_formula_sum 'K3 Zr3 Se6'
_cell_length_a 3.5868
_cell_length_b 3.5868
_cell_length_c 32.2651
_cell_angle_alpha 90.00
_cell_angle_beta 90.00
_cell_angle_gamma 120.00
_symmetry_space_group_name_H-M 'R 3 m'
_symmetry_Int_Tables_number 160
_symmetry_space_group_name_Hall 'R 3 -2"'
loop_
_atom_site_label
_atom_site_type_symbol
_atom_site_fract_x
_atom_site_fract_y
_atom_site_fract_z
K1 K 0.0000 0.0000 0.0000
Zr1 Zr 0.0000 0.0000 0.7811
Se1 Se 0.0000 0.0000 0.2577
Se2 Se 0.0000 0.0000 0.4977
```


no.,formation energy from raw total energies (eV/atom)
1,-0.309
2,-0.037
3,0.089
4,-0.968
5,0.244
6,-1.239
7,0.346
8,-0.094
9,-0.176